[1]
A plane-wave DFT calculation with PBE was carried out for a relaxed structure of SbHSeBr2.

Calculated values
As for the distance to the lowest polymorph of the same formula: 0.1554 eV per atom. Its total energy is -11.65 eV for the cell shown. Its total magnetization is 0.0 μB per cell.

POSCAR file:
```
SbHSeBr2
1.0
4.641 0.000 0.000
0.000 4.641 0.000
0.000 0.000 4.707
Sb H Se Br
1 1 1 2
Cartesian
0.000 0.000 0.000
2.321 2.321 2.353
2.321 2.321 0.000
0.000 2.321 2.353
2.321 0.000 2.353
```

[2]
A plane-wave DFT calculation with PBE was carried out for a relaxed structure of SbHSeBr2.

Calculated values
As for the distance to the lowest polymorph of the same formula: 0.0000 eV per atom. Its total energy is -12.43 eV for the cell shown. Its total magnetization is 1.6 μB per cell.

POSCAR file:
```
SbHSeBr2
1.0
5.641 0.000 0.000
0.000 5.641 0.000
0.000 0.000 5.348
Sb H Se Br
1 1 1 2
Cartesian
0.000 0.000 0.000
2.821 2.821 2.674
0.000 0.000 2.674
0.000 2.821 0.000
2.821 0.000 0.000
```

[3]
A plane-wave DFT calculation with PBE was carried out for a relaxed structure of SnSb2HBr.

Calculated values
Its total energy is -16.02 eV for the cell shown. Its total magnetization is 0.0 μB per cell.

POSCAR file:
```
SnSb2HBr
1.0
4.447 0.000 0.000
0.000 4.447 0.000
0.000 0.000 6.126
Sn Sb H Br
1 2 1 1
Cartesian
0.000 0.000 0.000
0.000 2.224 3.063
2.224 0.000 3.063
2.224 2.224 3.063
2.224 2.224 0.000
```

[4]
A plane-wave DFT calculation with PBE was carried out for a relaxed structure of SnSbHBr2.

Calculated values
Its total energy is -14.20 eV for the cell shown. Its total magnetization is 0.0 μB per cell.

POSCAR file:
```
SnSbHBr2
1.0
5.951 0.000 0.000
0.000 5.951 0.000
0.000 0.000 3.812
Sn Sb H Br
1 1 1 2
Cartesian
0.000 0.000 0.000
2.975 2.975 1.906
2.975 2.975 0.000
0.000 2.975 1.906
2.975 0.000 1.906
```

[5]
A plane-wave DFT calculation with PBE was carried out for a relaxed structure of SbTe2HBr.

Calculated values
As for the distance to the lowest polymorph of the same formula: 0.0000 eV per atom. Its total energy is -13.38 eV for the cell shown. Its total magnetization is 0.0 μB per cell.

POSCAR file:
```
SbTe2HBr
1.0
4.488 0.000 0.000
0.000 4.488 0.000
0.000 0.000 5.879
Sb Te H Br
1 2 1 1
Cartesian
0.000 0.000 0.000
0.000 2.244 2.940
2.244 0.000 2.940
0.000 0.000 2.940
2.244 2.244 0.000
```

[6]
A plane-wave DFT calculation with PBE was carried out for a relaxed structure of SbTe2HBr.

Calculated values
As for the distance to the lowest polymorph of the same formula: 0.8648 eV per atom. Its total energy is -9.06 eV for the cell shown. Its total magnetization is 2.9 μB per cell.

POSCAR file:
```
SbTe2HBr
1.0
5.801 0.000 0.000
0.000 5.801 0.000
0.000 0.000 5.627
Sb Te H Br
1 2 1 1
Cartesian
0.000 0.000 0.000
0.000 2.900 2.813
2.900 0.000 2.813
2.900 2.900 0.000
0.000 0.000 2.813
```

- Which value of total magnetization does entry 4 give?
  0.0 μB per cell

Please write out number 1 again, unchanged.
A plane-wave DFT calculation with PBE was carried out for a relaxed structure of SbHSeBr2.

Calculated values
As for the distance to the lowest polymorph of the same formula: 0.1554 eV per atom. Its total energy is -11.65 eV for the cell shown. Its total magnetization is 0.0 μB per cell.

POSCAR file:
```
SbHSeBr2
1.0
4.641 0.000 0.000
0.000 4.641 0.000
0.000 0.000 4.707
Sb H Se Br
1 1 1 2
Cartesian
0.000 0.000 0.000
2.321 2.321 2.353
2.321 2.321 0.000
0.000 2.321 2.353
2.321 0.000 2.353
```

Repeat the first record exactly.
A plane-wave DFT calculation with PBE was carried out for a relaxed structure of SbHSeBr2.

Calculated values
As for the distance to the lowest polymorph of the same formula: 0.1554 eV per atom. Its total energy is -11.65 eV for the cell shown. Its total magnetization is 0.0 μB per cell.

POSCAR file:
```
SbHSeBr2
1.0
4.641 0.000 0.000
0.000 4.641 0.000
0.000 0.000 4.707
Sb H Se Br
1 1 1 2
Cartesian
0.000 0.000 0.000
2.321 2.321 2.353
2.321 2.321 0.000
0.000 2.321 2.353
2.321 0.000 2.353
```